[1]
Cs2SrSb: relaxed, PBE.

Cell lengths 14.061, 14.061, 6.381 Å; angles 90.00, 90.00, 90.00 degrees
Space group I-42d (No. 122)
One atom of each set of equivalent atoms:
1 Cs 0.101 0.250 0.125 (multiplicity 8)
2 Sr 0.000 0.000 0.500 (multiplicity 4)
3 Sb 0.000 0.000 0.000 (multiplicity 4)

Offset from the most stable computed form   0 meV/atom
N(E_F)   0.722 states/eV per atom


[2]
CsInBrF2: relaxed, PBE.

Cell lengths 4.837, 4.837, 5.626 Å; angles 90.00, 90.00, 90.00 degrees
Space group P4/mmm (No. 123)
One atom of each set of equivalent atoms:
1 Cs 0.000 0.000 0.000 (multiplicity 1)
2 In 0.500 0.500 0.500 (multiplicity 1)
3 Br 0.500 0.500 0.000 (multiplicity 1)
4 F 0.000 0.500 0.500 (multiplicity 2)

E   -18.60 eV for the cell shown
N(E_F)   0.184 states/eV per atom


[3]
Sr3Cd5Br12: relaxed, PBE.

Cell lengths 18.095, 18.095, 18.095 Å; angles 90.00, 90.00, 90.00 degrees
Space group Ia-3d (No. 230)
One atom of each set of equivalent atoms:
1 Sr 0.000 0.250 0.125 (multiplicity 24)
2 Cd 0.000 0.000 0.000 (multiplicity 16)
3 Cd 0.000 0.250 0.375 (multiplicity 24)
4 Br 0.026 0.069 0.665 (multiplicity 96)

E   -417.51 eV for the cell shown
N(E_F)   0.030 states/eV per atom


[4]
Pu8Ru2Pt: relaxed, PBE.

Cell lengths 17.286, 5.150, 5.853 Å; angles 90.00, 108.40, 90.00 degrees
Space group C2/m (No. 12)
One atom of each set of equivalent atoms:
1 Pu 0.009 0.000 0.261 (multiplicity 4)
2 Pu 0.096 0.500 0.018 (multiplicity 4)
3 Pu 0.173 0.500 0.511 (multiplicity 4)
4 Pu 0.201 0.000 0.813 (multiplicity 4)
5 Ru 0.166 0.000 0.236 (multiplicity 4)
6 Pt 0.000 0.500 0.500 (multiplicity 2)

Energy relative to the elements   -95 meV/atom
N(E_F)   4.456 states/eV per atom


[5]
Ac3PtO: relaxed, PBE.

Cell lengths 5.178, 5.178, 5.178 Å; angles 90.00, 90.00, 90.00 degrees
Space group Pm-3m (No. 221)
One atom of each set of equivalent atoms:
1 Ac 0.000 0.000 0.500 (multiplicity 3)
2 Pt 0.500 0.500 0.500 (multiplicity 1)
3 O 0.000 0.000 0.000 (multiplicity 1)

E   -29.34 eV for the cell shown
N(E_F)   1.220 states/eV per atom


[6]
Pu3UTl3S8: relaxed, PBE.

Cell lengths 8.1141, 8.1141, 22.5285 Å; angles 90.00, 90.00, 120.00 degrees
Space group R-3m (No. 166, hexagonal axes)
One atom of each set of equivalent atoms:
1 Pu 0.0000 0.5000 0.0000 (multiplicity 9)
2 U 0.0000 0.0000 0.0000 (multiplicity 3)
3 Tl 0.0000 0.5000 0.5000 (multiplicity 9)
4 S 0.0000 0.0000 0.2689 (multiplicity 6)
5 S 0.0101 0.5051 0.7302 (multiplicity 18)

E   -340.23 eV for the cell shown
N(E_F)   2.120 states/eV per atom